DFT (PBE) results for an optimized crystal structure of KCoRe2.

abc: 3.691 3.691 5.045
angles: 90.00 90.00 90.00
Fractional coordinates of all 4 atoms:
K 0.000 0.000 0.000
Co 0.500 0.500 0.000
Re 0.000 0.500 0.500
Re 0.500 0.000 0.500

Formation energy = 1.72 eV/atom
D(E_F) = 1.56 states/eV per atom
Size of the total moment = 1.24 Bohr magnetons per cell
Energy = -6.55 eV/atom